No. 1
InOsPbSe2 | the Alexandria database | PBE | optimized geometry; calculated volume = 25.80 A^3/atom; magnetization = 0.00 μB/cell; formation energy without anion corrections = 9.6 kcal/mol of atoms; SG = No. 123
1.0
-4.356 2.091 0.911
-1.263 -0.378 -5.170
-1.962 -4.437 0.804
Se Os Pb In
2 1 1 1
direct
0.000 0.000 0.500
0.500 0.000 0.000
0.000 0.000 0.000
0.500 0.500 0.500
0.000 0.500 0.000

No. 2
Pm8Ge3PtBr4 | the Alexandria database | PBE | optimized geometry; calculated volume = 28.55 A^3/atom; magnetization = 0.00 μB/cell; formation energy without anion corrections = -26.4 kcal/mol of atoms; SG = No. 166
1.0
8.582 0.000 0.000
0.000 8.712 0.086
-4.291 -4.289 6.069
Ge Pm Br Pt
3 8 4 1
direct
0.000 0.500 0.500
0.500 0.500 0.500
0.500 0.500 0.000
0.739 0.717 0.478
0.234 0.712 0.978
0.261 0.283 0.522
0.766 0.288 0.022
0.744 0.712 0.978
0.766 0.288 0.531
0.256 0.288 0.022
0.234 0.712 0.469
0.500 0.000 0.000
0.000 0.000 0.500
0.000 0.000 0.000
0.500 0.000 0.500
0.000 0.500 0.000

No. 3
Pr4CdIn2Au | the Alexandria database | PBE | optimized geometry; ΔE_f = -47.31 kJ per mole of atoms; calculated volume = 28.99 A^3/atom; magnetization = 1.12 μB/cell; SG = No. 166
1.0
-2.318 -4.945 -0.442
0.745 -3.736 3.937
-7.773 0.125 5.402
In Pr Cd Au
2 4 1 1
direct
0.745 0.745 0.766
0.255 0.255 0.234
0.620 0.620 0.141
0.870 0.870 0.389
0.380 0.380 0.859
0.130 0.130 0.611
0.000 0.000 0.000
0.500 0.500 0.500

No. 4
LiGaAu3 | the Alexandria database | PBE | optimized geometry; ΔE_f = -31.44 kJ per mole of atoms; calculated volume = 17.85 A^3/atom; magnetization = 0.00 μB/cell; SG = No. 14
1.0
-2.116 5.192 -3.583
3.689 -2.562 -5.891
-7.163 -2.860 0.086
Au Ga Li
12 4 4
direct
0.455 0.314 0.643
0.702 0.444 0.992
0.045 0.314 0.143
0.387 0.127 0.903
0.298 0.556 0.008
0.202 0.556 0.508
0.545 0.686 0.357
0.887 0.873 0.597
0.113 0.127 0.403
0.613 0.873 0.097
0.955 0.686 0.857
0.798 0.444 0.492
0.784 0.080 0.931
0.716 0.080 0.431
0.284 0.920 0.569
0.216 0.920 0.069
0.962 0.703 0.232
0.538 0.703 0.732
0.038 0.297 0.768
0.462 0.297 0.268

No. 5
PrVBr2 | the Alexandria database | PBE | optimized geometry; calculated volume = 28.92 A^3/atom; magnetization = 4.06 μB/cell; formation energy without anion corrections = -8.7 kcal/mol of atoms; SG = No. 166
1.0
-1.608 -1.927 -2.850
1.688 -0.123 -3.399
4.626 -8.307 0.477
Br V Pr
2 1 1
direct
0.112 0.112 0.663
0.888 0.888 0.337
0.500 0.500 0.500
0.000 0.000 0.000

No. 6
Li4CeTm | the Alexandria database | PBE | optimized geometry; ΔE_f = 18.00 kJ per mole of atoms; calculated volume = 23.42 A^3/atom; magnetization = 1.74 μB/cell; SG = No. 216
1.0
5.836 0.000 0.000
2.918 5.054 0.000
2.918 1.685 4.765
Tm Ce Li
1 1 4
direct
0.000 0.000 0.000
0.250 0.250 0.250
0.122 0.626 0.626
0.626 0.122 0.626
0.626 0.626 0.626
0.626 0.626 0.122

No. 7
La3Dy2TmTe6 | the Alexandria database | PBE | optimized geometry; calculated volume = 31.31 A^3/atom; magnetization = 0.00 μB/cell; formation energy without anion corrections = -32.9 kcal/mol of atoms; SG = No. 12
1.0
-1.520 3.075 -2.775
-6.194 -5.803 -3.038
-3.567 3.057 8.849
Te Tm La Dy
6 1 3 2
direct
0.330 0.426 0.660
0.339 0.908 0.678
0.997 0.763 0.993
0.670 0.574 0.340
0.661 0.092 0.322
0.003 0.237 0.007
0.500 0.000 0.000
0.832 0.166 0.664
0.500 0.500 0.000
0.168 0.834 0.336
0.168 0.335 0.335
0.832 0.665 0.665

No. 8
ScAs | the Alexandria database | PBE | optimized geometry; ΔE_f = -35.93 kJ per mole of atoms; calculated volume = 22.90 A^3/atom; magnetization = 0.00 μB/cell; SG = No. 129
1.0
-0.233 -3.060 0.337
1.137 -0.400 -2.842
8.907 -0.281 3.602
Sc As
2 2
direct
0.250 0.250 0.644
0.750 0.750 0.356
0.250 0.250 0.168
0.750 0.750 0.832

No. 9
Pa2TlPt | the Alexandria database | PBE | optimized geometry; ΔE_f = 14.37 kJ per mole of atoms; calculated volume = 24.13 A^3/atom; magnetization = 0.00 μB/cell; SG = No. 166
1.0
3.171 0.000 0.000
1.586 2.746 0.000
1.586 0.915 11.080
Pt Pa Tl
1 2 1
direct
0.000 0.000 0.000
0.919 0.919 0.243
0.081 0.081 0.757
0.500 0.500 0.500

No. 10
Cs2OsRhF6 | the Alexandria database | PBE | optimized geometry; calculated volume = 17.95 A^3/atom; magnetization = 3.00 μB/cell; formation energy without anion corrections = -37.7 kcal/mol of atoms; SG = No. 225
1.0
-4.323 -4.099 2.141
3.652 -4.824 -1.863
1.672 -4.488 4.142
Rh F Cs Os
1 6 2 1
direct
0.500 0.500 0.000
0.232 0.232 0.537
0.768 0.768 0.463
0.232 0.232 0.000
0.768 0.768 0.000
0.232 0.768 0.000
0.768 0.232 0.000
0.750 0.250 0.500
0.250 0.750 0.500
0.000 0.000 0.000

No. 11
Ba4YMo | the Alexandria database | PBE | optimized geometry; ΔE_f = 105.51 kJ per mole of atoms; calculated volume = 45.39 A^3/atom; magnetization = 1.90 μB/cell; SG = No. 216
1.0
-4.658 1.613 5.351
-4.252 5.880 -0.528
-7.158 -0.770 -1.053
Ba Mo Y
4 1 1
direct
0.875 0.375 0.375
0.375 0.875 0.375
0.375 0.375 0.875
0.375 0.375 0.375
0.750 0.750 0.750
0.000 0.000 0.000

No. 12
VCr2Cl2 | the Alexandria database | PBE | optimized geometry; calculated volume = 18.37 A^3/atom; magnetization = 16.91 μB/cell; formation energy without anion corrections = 9.1 kcal/mol of atoms; SG = No. 127
1.0
6.344 0.000 0.000
0.000 6.344 0.000
0.000 0.000 4.563
Cr Cl V
4 4 2
direct
0.776 0.724 0.500
0.224 0.276 0.500
0.276 0.776 0.500
0.724 0.224 0.500
0.174 0.326 0.000
0.826 0.674 0.000
0.326 0.826 0.000
0.674 0.174 0.000
0.000 0.000 0.000
0.500 0.500 0.000

What did the fourth record say?
LiGaAu3 | the Alexandria database | PBE | optimized geometry; ΔE_f = -31.44 kJ per mole of atoms; calculated volume = 17.85 A^3/atom; magnetization = 0.00 μB/cell; SG = No. 14
1.0
-2.116 5.192 -3.583
3.689 -2.562 -5.891
-7.163 -2.860 0.086
Au Ga Li
12 4 4
direct
0.455 0.314 0.643
0.702 0.444 0.992
0.045 0.314 0.143
0.387 0.127 0.903
0.298 0.556 0.008
0.202 0.556 0.508
0.545 0.686 0.357
0.887 0.873 0.597
0.113 0.127 0.403
0.613 0.873 0.097
0.955 0.686 0.857
0.798 0.444 0.492
0.784 0.080 0.931
0.716 0.080 0.431
0.284 0.920 0.569
0.216 0.920 0.069
0.962 0.703 0.232
0.538 0.703 0.732
0.038 0.297 0.768
0.462 0.297 0.268